The following is a PBE-GGA calculation of a relaxed structure of Y3Ho2Tm, from Alexandria via LeMat-Bulk.

Cell lengths 9.3748, 9.3748, 6.1301 Å; angles 90.01, 90.01, 44.40 degrees
Fractional positions:
Y1 0.1252 0.8748 0.7500
Y2 0.2088 0.4586 0.5827
Y3 0.4586 0.2088 0.0827
Y4 0.5414 0.7912 0.9173
Y5 0.7912 0.5414 0.4173
Y6 0.8748 0.1252 0.2500
Ho1 0.0413 0.2915 0.9168
Ho2 0.2915 0.0413 0.4168
Ho3 0.7085 0.9587 0.5832
Ho4 0.9587 0.7085 0.0832
Tm1 0.3752 0.6248 0.2500
Tm2 0.6248 0.3752 0.7500

## Properties
Crystal system ... monoclinic
Excess energy over the best structure of this formula in the dataset ... 0.000 eV/f.u.
Space group ... C2/c

=====

The following is a PBE-GGA calculation of a relaxed structure of Y6HoTm5, from Alexandria via LeMat-Bulk.

Cell lengths 6.1149, 6.1149, 11.7182 Å; angles 94.99, 94.99, 119.94 degrees
Fractional positions:
Y1 0.0836 0.4171 0.7504
Y2 0.2499 0.2499 0.2498
Y3 0.4171 0.0836 0.7504
Y4 0.5829 0.9164 0.2496
Y5 0.7501 0.7501 0.7502
Y6 0.9164 0.5829 0.2496
Ho1 0.0000 0.0000 0.5000
Tm1 0.1667 0.8333 0.0000
Tm2 0.3333 0.6667 0.5000
Tm3 0.5000 0.5000 0.0000
Tm4 0.6667 0.3333 0.5000
Tm5 0.8333 0.1667 0.0000

## Properties
Crystal system ... monoclinic
Space group ... C2/m

=====

The following is a PBE-GGA calculation of a relaxed structure of Y6HoTm, from Alexandria via LeMat-Bulk.

Cell lengths 6.6184, 6.6184, 6.7910 Å; angles 90.00, 90.00, 120.00 degrees
Fractional positions:
Y1 0.0000 0.4521 0.2501
Y2 0.0000 0.5479 0.7499
Y3 0.4521 0.0000 0.2501
Y4 0.4521 0.4521 0.7499
Y5 0.5479 0.0000 0.7499
Y6 0.5479 0.5479 0.2501
Ho1 0.0000 0.0000 0.0000
Tm1 0.0000 0.0000 0.5000

## Properties
Crystal system ... trigonal
Excess energy over the best structure of this formula in the dataset ... 1.403 eV/f.u.
Space group ... P-31m

=====

no.,E_form (meV per atom),magnetic moment (μB per formula unit)
1,27,0.0
2,29,0.0
3,201,0.0